# 1
Computed, not measured: crystalline Cd2OsRu2 at its relaxed geometry at the PBE-GGA level of DFT.

CIF file:
```
data_Cd2OsRu2
_cell_length_a 8.463
_cell_length_b 8.463
_cell_length_c 8.463
_cell_angle_alpha 156.84
_cell_angle_beta 156.84
_cell_angle_gamma 32.98
_space_group_name_H-M_alt 'P 1'
_space_group_IT_number 1
loop_
_space_group_symop_operation_xyz
'x,y,z'
loop_
_atom_site_label
_atom_site_type_symbol
_atom_site_fract_x
_atom_site_fract_y
_atom_site_fract_z
_atom_site_occupancy
Cd1 Cd 0.099 0.099 0.000 1
Cd2 Cd 0.901 0.901 0.000 1
Os1 Os 0.500 0.500 0.000 1
Ru1 Ru 0.250 0.750 0.500 1
Ru2 Ru 0.750 0.250 0.500 1
```

Summary:
total moment	1.0	μB per formula unit
calculated formation energy	1081	meV per atom
N(E_F)	1.58	states/eV per atom



# 2
Computed, not measured: crystalline Mg2InTc at its relaxed geometry at the PBE-GGA level of DFT.

CIF file:
```
data_Mg2InTc
_cell_length_a 2.915
_cell_length_b 2.915
_cell_length_c 9.357
_cell_angle_alpha 90.00
_cell_angle_beta 90.00
_cell_angle_gamma 103.55
_space_group_name_H-M_alt 'P 1'
_space_group_IT_number 1
loop_
_space_group_symop_operation_xyz
'x,y,z'
loop_
_atom_site_label
_atom_site_type_symbol
_atom_site_fract_x
_atom_site_fract_y
_atom_site_fract_z
_atom_site_occupancy
Mg1 Mg 0.000 0.000 0.220 1
Mg2 Mg 0.000 0.000 0.780 1
In1 In 0.500 0.500 0.500 1
Tc1 Tc 0.500 0.500 0.000 1
```

Summary:
total moment	0.0	μB per formula unit
calculated formation energy	206	meV per atom
N(E_F)	0.93	states/eV per atom



# 3
Computed, not measured: crystalline TaC2O at its relaxed geometry at the PBE-GGA level of DFT.

CIF file:
```
data_TaC2O
_cell_length_a 4.797
_cell_length_b 4.797
_cell_length_c 4.797
_cell_angle_alpha 117.01
_cell_angle_beta 117.01
_cell_angle_gamma 95.26
_space_group_name_H-M_alt 'P 1'
_space_group_IT_number 1
loop_
_space_group_symop_operation_xyz
'x,y,z'
loop_
_atom_site_label
_atom_site_type_symbol
_atom_site_fract_x
_atom_site_fract_y
_atom_site_fract_z
_atom_site_occupancy
Ta1 Ta 0.000 0.000 0.000 1
Ta2 Ta 0.750 0.250 0.500 1
C1 C 0.191 0.625 0.066 1
C2 C 0.375 0.441 0.566 1
C3 C 0.559 0.125 0.934 1
C4 C 0.875 0.809 0.434 1
O1 O 0.250 0.750 0.500 1
O2 O 0.500 0.500 0.000 1
```

Summary:
total moment	0.0	μB per formula unit
N(E_F)	0.41	states/eV per atom
total energy	-7.4782	eV per atom



# 4
Computed, not measured: crystalline Na15Mg at its relaxed geometry at the PBE-GGA level of DFT.

CIF file:
```
data_Na15Mg
_cell_length_a 7.383
_cell_length_b 7.383
_cell_length_c 12.054
_cell_angle_alpha 90.00
_cell_angle_beta 90.00
_cell_angle_gamma 120.00
_space_group_name_H-M_alt 'P 1'
_space_group_IT_number 1
loop_
_space_group_symop_operation_xyz
'x,y,z'
loop_
_atom_site_label
_atom_site_type_symbol
_atom_site_fract_x
_atom_site_fract_y
_atom_site_fract_z
_atom_site_occupancy
Na1 Na 0.000 0.000 0.000 1
Na2 Na 0.002 0.501 0.500 1
Na3 Na 0.327 0.164 0.258 1
Na4 Na 0.327 0.164 0.742 1
Na5 Na 0.333 0.667 0.248 1
Na6 Na 0.333 0.667 0.752 1
Na7 Na 0.499 0.501 0.500 1
Na8 Na 0.499 0.998 0.500 1
Na9 Na 0.501 0.002 0.000 1
Na10 Na 0.501 0.499 0.000 1
Na11 Na 0.836 0.164 0.258 1
Na12 Na 0.836 0.164 0.742 1
Na13 Na 0.836 0.673 0.258 1
Na14 Na 0.836 0.673 0.742 1
Na15 Na 0.998 0.499 0.000 1
Mg1 Mg 0.000 0.000 0.500 1
```

Summary:
total moment	0.0	μB per formula unit
calculated formation energy	27	meV per atom
N(E_F)	0.37	states/eV per atom



# 5
Computed, not measured: crystalline PdPbCl6 at its relaxed geometry at the PBE-GGA level of DFT.

CIF file:
```
data_PdPbCl6
_cell_length_a 6.702
_cell_length_b 6.702
_cell_length_c 10.235
_cell_angle_alpha 90.13
_cell_angle_beta 90.13
_cell_angle_gamma 73.27
_space_group_name_H-M_alt 'P 1'
_space_group_IT_number 1
loop_
_space_group_symop_operation_xyz
'x,y,z'
loop_
_atom_site_label
_atom_site_type_symbol
_atom_site_fract_x
_atom_site_fract_y
_atom_site_fract_z
_atom_site_occupancy
Pd1 Pd 0.000 0.500 0.000 1
Pd2 Pd 0.500 0.000 0.500 1
Pb1 Pb 0.011 0.989 0.750 1
Pb2 Pb 0.989 0.011 0.250 1
Cl1 Cl 0.148 0.203 0.498 1
Cl2 Cl 0.153 0.555 0.198 1
Cl3 Cl 0.203 0.148 0.998 1
Cl4 Cl 0.255 0.604 0.884 1
Cl5 Cl 0.396 0.745 0.616 1
Cl6 Cl 0.445 0.847 0.302 1
Cl7 Cl 0.555 0.153 0.698 1
Cl8 Cl 0.604 0.255 0.384 1
Cl9 Cl 0.745 0.396 0.116 1
Cl10 Cl 0.797 0.852 0.002 1
Cl11 Cl 0.847 0.445 0.802 1
Cl12 Cl 0.852 0.797 0.502 1
```

Summary:
total moment	0.0	μB per formula unit
energy above the lowest structure with this stoichiometry	0.000	eV/atom



# 6
Computed, not measured: crystalline Tb6PrNd12 at its relaxed geometry at the PBE-GGA level of DFT.

CIF file:
```
data_Tb6PrNd12
_cell_length_a 8.893
_cell_length_b 8.893
_cell_length_c 8.893
_cell_angle_alpha 99.12
_cell_angle_beta 99.12
_cell_angle_gamma 99.12
_space_group_name_H-M_alt 'P 1'
_space_group_IT_number 1
loop_
_space_group_symop_operation_xyz
'x,y,z'
loop_
_atom_site_label
_atom_site_type_symbol
_atom_site_fract_x
_atom_site_fract_y
_atom_site_fract_z
_atom_site_occupancy
Tb1 Tb 0.161 0.597 0.597 1
Tb2 Tb 0.403 0.403 0.839 1
Tb3 Tb 0.403 0.839 0.403 1
Tb4 Tb 0.597 0.161 0.597 1
Tb5 Tb 0.597 0.597 0.161 1
Tb6 Tb 0.839 0.403 0.403 1
Pr1 Pr 0.500 0.500 0.500 1
Nd1 Nd 0.000 0.259 0.741 1
Nd2 Nd 0.000 0.741 0.259 1
Nd3 Nd 0.146 0.146 0.417 1
Nd4 Nd 0.146 0.417 0.146 1
Nd5 Nd 0.259 0.000 0.741 1
Nd6 Nd 0.259 0.741 0.000 1
Nd7 Nd 0.417 0.146 0.146 1
Nd8 Nd 0.583 0.854 0.854 1
Nd9 Nd 0.741 0.000 0.259 1
Nd10 Nd 0.741 0.259 0.000 1
Nd11 Nd 0.854 0.583 0.854 1
Nd12 Nd 0.854 0.854 0.583 1
```

Summary:
total moment	0.0	μB per formula unit
calculated formation energy	191	meV per atom
N(E_F)	2.01	states/eV per atom
energy above the lowest structure with this stoichiometry	0.060	eV/atom



# 7
Computed, not measured: crystalline ErSc3Co2 at its relaxed geometry at the PBE-GGA level of DFT.

CIF file:
```
data_ErSc3Co2
_cell_length_a 7.535
_cell_length_b 7.535
_cell_length_c 7.549
_cell_angle_alpha 111.50
_cell_angle_beta 111.50
_cell_angle_gamma 35.77
_space_group_name_H-M_alt 'P 1'
_space_group_IT_number 1
loop_
_space_group_symop_operation_xyz
'x,y,z'
loop_
_atom_site_label
_atom_site_type_symbol
_atom_site_fract_x
_atom_site_fract_y
_atom_site_fract_z
_atom_site_occupancy
Er1 Er 0.132 0.132 0.216 1
Er2 Er 0.868 0.868 0.784 1
Sc1 Sc 0.069 0.069 0.728 1
Sc2 Sc 0.316 0.316 0.018 1
Sc3 Sc 0.371 0.371 0.487 1
Sc4 Sc 0.629 0.629 0.513 1
Sc5 Sc 0.684 0.684 0.982 1
Sc6 Sc 0.931 0.931 0.272 1
Co1 Co 0.229 0.229 0.636 1
Co2 Co 0.499 0.499 0.844 1
Co3 Co 0.501 0.501 0.156 1
Co4 Co 0.771 0.771 0.364 1
```

Summary:
total moment	0.0	μB per formula unit
calculated formation energy	-175	meV per atom
N(E_F)	0.87	states/eV per atom
energy above the lowest structure with this stoichiometry	0.033	eV/atom



# 8
Computed, not measured: crystalline K2Na2Pb15 at its relaxed geometry at the PBE-GGA level of DFT.

CIF file:
```
data_K2Na2Pb15
_cell_length_a 8.767
_cell_length_b 8.767
_cell_length_c 8.767
_cell_angle_alpha 81.20
_cell_angle_beta 81.20
_cell_angle_gamma 81.20
_space_group_name_H-M_alt 'P 1'
_space_group_IT_number 1
loop_
_space_group_symop_operation_xyz
'x,y,z'
loop_
_atom_site_label
_atom_site_type_symbol
_atom_site_fract_x
_atom_site_fract_y
_atom_site_fract_z
_atom_site_occupancy
K1 K 0.153 0.153 0.153 1
K2 K 0.847 0.847 0.847 1
Na1 Na 0.396 0.396 0.396 1
Na2 Na 0.604 0.604 0.604 1
Pb1 Pb 0.000 0.500 0.500 1
Pb2 Pb 0.147 0.147 0.656 1
Pb3 Pb 0.147 0.656 0.147 1
Pb4 Pb 0.202 0.500 0.798 1
Pb5 Pb 0.202 0.798 0.500 1
Pb6 Pb 0.344 0.853 0.853 1
Pb7 Pb 0.500 0.000 0.500 1
Pb8 Pb 0.500 0.202 0.798 1
Pb9 Pb 0.500 0.500 0.000 1
Pb10 Pb 0.500 0.798 0.202 1
Pb11 Pb 0.656 0.147 0.147 1
Pb12 Pb 0.798 0.202 0.500 1
Pb13 Pb 0.798 0.500 0.202 1
Pb14 Pb 0.853 0.344 0.853 1
Pb15 Pb 0.853 0.853 0.344 1
```

Summary:
total moment	0.0	μB per formula unit
calculated formation energy	-76	meV per atom
N(E_F)	0.53	states/eV per atom



# 9
Computed, not measured: crystalline CeDyFeCu at its relaxed geometry at the PBE-GGA level of DFT.

CIF file:
```
data_CeDyFeCu
_cell_length_a 4.853
_cell_length_b 4.853
_cell_length_c 4.853
_cell_angle_alpha 60.00
_cell_angle_beta 60.00
_cell_angle_gamma 60.00
_space_group_name_H-M_alt 'P 1'
_space_group_IT_number 1
loop_
_space_group_symop_operation_xyz
'x,y,z'
loop_
_atom_site_label
_atom_site_type_symbol
_atom_site_fract_x
_atom_site_fract_y
_atom_site_fract_z
_atom_site_occupancy
Ce1 Ce 0.000 0.000 0.000 1
Dy1 Dy 0.500 0.500 0.500 1
Fe1 Fe 0.250 0.250 0.250 1
Cu1 Cu 0.750 0.750 0.750 1
```

Summary:
total moment	0.6	μB per formula unit
calculated formation energy	9	meV per atom
N(E_F)	1.42	states/eV per atom



# 10
Computed, not measured: crystalline Rb2ReH2 at its relaxed geometry at the PBE-GGA level of DFT.

CIF file:
```
data_Rb2ReH2
_cell_length_a 6.872
_cell_length_b 6.872
_cell_length_c 6.872
_cell_angle_alpha 136.27
_cell_angle_beta 136.27
_cell_angle_gamma 63.57
_space_group_name_H-M_alt 'P 1'
_space_group_IT_number 1
loop_
_space_group_symop_operation_xyz
'x,y,z'
loop_
_atom_site_label
_atom_site_type_symbol
_atom_site_fract_x
_atom_site_fract_y
_atom_site_fract_z
_atom_site_occupancy
Rb1 Rb 0.161 0.161 0.000 1
Rb2 Rb 0.839 0.839 0.000 1
Re1 Re 0.500 0.500 0.000 1
H1 H 0.250 0.750 0.500 1
H2 H 0.750 0.250 0.500 1
```

Summary:
total moment	5.0	μB per formula unit
N(E_F)	0.00	states/eV per atom
energy above the lowest structure with this stoichiometry	0.058	eV/atom



# 11
Computed, not measured: crystalline LiIn5O8 at its relaxed geometry at the PBE-GGA level of DFT.

CIF file:
```
data_LiIn5O8
_cell_length_a 6.475
_cell_length_b 6.475
_cell_length_c 6.475
_cell_angle_alpha 60.00
_cell_angle_beta 60.00
_cell_angle_gamma 60.00
_space_group_name_H-M_alt 'P 1'
_space_group_IT_number 1
loop_
_space_group_symop_operation_xyz
'x,y,z'
loop_
_atom_site_label
_atom_site_type_symbol
_atom_site_fract_x
_atom_site_fract_y
_atom_site_fract_z
_atom_site_occupancy
Li1 Li 0.000 0.000 0.000 1
In1 In 0.371 0.371 0.371 1
In2 In 0.371 0.371 0.886 1
In3 In 0.371 0.886 0.371 1
In4 In 0.750 0.750 0.750 1
In5 In 0.886 0.371 0.371 1
O1 O 0.133 0.133 0.133 1
O2 O 0.133 0.133 0.601 1
O3 O 0.133 0.601 0.133 1
O4 O 0.152 0.616 0.616 1
O5 O 0.601 0.133 0.133 1
O6 O 0.616 0.152 0.616 1
O7 O 0.616 0.616 0.152 1
O8 O 0.616 0.616 0.616 1
```

Summary:
total moment	0.0	μB per formula unit
total energy	-5.5276	eV per atom



# 12
Computed, not measured: crystalline Tb7Er12Zr at its relaxed geometry at the PBE-GGA level of DFT.

CIF file:
```
data_Tb7Er12Zr
_cell_length_a 8.606
_cell_length_b 8.606
_cell_length_c 8.606
_cell_angle_alpha 90.74
_cell_angle_beta 90.74
_cell_angle_gamma 90.74
_space_group_name_H-M_alt 'P 1'
_space_group_IT_number 1
loop_
_space_group_symop_operation_xyz
'x,y,z'
loop_
_atom_site_label
_atom_site_type_symbol
_atom_site_fract_x
_atom_site_fract_y
_atom_site_fract_z
_atom_site_occupancy
Tb1 Tb 0.000 0.000 0.000 1
Tb2 Tb 0.167 0.564 0.465 1
Tb3 Tb 0.436 0.535 0.833 1
Tb4 Tb 0.465 0.167 0.564 1
Tb5 Tb 0.535 0.833 0.436 1
Tb6 Tb 0.564 0.465 0.167 1
Tb7 Tb 0.833 0.436 0.535 1
Er1 Er 0.043 0.373 0.140 1
Er2 Er 0.133 0.278 0.734 1
Er3 Er 0.140 0.043 0.373 1
Er4 Er 0.266 0.867 0.722 1
Er5 Er 0.278 0.734 0.133 1
Er6 Er 0.373 0.140 0.043 1
Er7 Er 0.627 0.860 0.957 1
Er8 Er 0.722 0.266 0.867 1
Er9 Er 0.734 0.133 0.278 1
Er10 Er 0.860 0.957 0.627 1
Er11 Er 0.867 0.722 0.266 1
Er12 Er 0.957 0.627 0.860 1
Zr1 Zr 0.500 0.500 0.500 1
```

Summary:
total moment	0.3	μB per formula unit
calculated formation energy	269	meV per atom
N(E_F)	1.88	states/eV per atom
energy above the lowest structure with this stoichiometry	0.000	eV/atom